1.
Entry from Alexandria via LeMat-Bulk: an optimized crystal structure of Er7In4Hg (PBE-GGA).

Lattice parameters (Å, degrees): 5.578 9.226 7.755 81.19 68.92 72.40
Sites, in units of the cell vectors:
Er  0.784  0.866  0.567
Er  0.216  0.134  0.433
Er  0.071  0.677  0.180
Er  0.929  0.323  0.820
Er  0.343  0.591  0.722
Er  0.500  0.000  0.000
Er  0.657  0.409  0.278
In  0.567  0.223  0.644
In  0.433  0.777  0.356
In  0.705  0.659  0.932
In  0.295  0.341  0.068
Hg  0.000  0.000  0.000

2.
Entry from Alexandria via LeMat-Bulk: an optimized crystal structure of BaMgAu4 (PBE-GGA).

Lattice parameters (Å, degrees): 5.778 5.778 5.778 60.00 60.00 60.00
Sites, in units of the cell vectors:
Ba  0.750  0.750  0.750
Mg  0.000  0.000  0.000
Au  0.374  0.878  0.374
Au  0.878  0.374  0.374
Au  0.374  0.374  0.878
Au  0.374  0.374  0.374

Ordered E_form results: -1.73; -2.39; unit eV per formula unit.